No. 1
# PBE-GGA LaNdGe2Au4, relaxed
data_LaNdGe2Au4
_chemical_formula_sum 'La1 Nd1 Ge2 Au4'
_space_group_name_H-M_alt 'P -6 m 2'
_space_group_IT_number 187
_space_group_name_Hall 'P -6 2'
_cell_length_a 4.6428
_cell_length_b 4.6428
_cell_length_c 9.6854
_cell_angle_alpha 90.00
_cell_angle_beta 90.00
_cell_angle_gamma 120.00
loop_
_atom_site_label
_atom_site_type_symbol
_atom_site_fract_x
_atom_site_fract_y
_atom_site_fract_z
La1 La 0.0000 0.0000 0.0000
Nd1 Nd 0.3333 0.6667 0.5000
Ge1 Ge 0.6667 0.3333 0.2516
Au1 Au 0.0000 0.0000 0.3445
Au2 Au 0.3333 0.6667 0.1605
# **Total magnetization**: 0.0 μB per formula unit
# **Final energy**: -36.94 eV per formula unit

***

No. 2
# PBE-GGA LaNdGe2Au2, relaxed
data_LaNdGe2Au2
_chemical_formula_sum 'La1 Nd1 Ge2 Au2'
_space_group_name_H-M_alt 'P 3 m 1'
_space_group_IT_number 156
_space_group_name_Hall 'P 3 -2"'
_cell_length_a 4.5405
_cell_length_b 4.5405
_cell_length_c 7.8675
_cell_angle_alpha 90.00
_cell_angle_beta 90.00
_cell_angle_gamma 120.00
loop_
_atom_site_label
_atom_site_type_symbol
_atom_site_fract_x
_atom_site_fract_y
_atom_site_fract_z
La1 La 0.0000 0.0000 0.0000
Nd1 Nd 0.0000 0.0000 0.4982
Ge1 Ge 0.3333 0.6667 0.2170
Ge2 Ge 0.6667 0.3333 0.7096
Au1 Au 0.3333 0.6667 0.7624
Au2 Au 0.6667 0.3333 0.2804
# **Total magnetization**: 0.0 μB per formula unit
# **Final energy**: -30.64 eV per formula unit

***

No. 3
# PBE-GGA La2Ge2PdAu, relaxed
data_La2Ge2PdAu
_chemical_formula_sum 'La2 Ge2 Pd1 Au1'
_space_group_name_H-M_alt 'P -6 m 2'
_space_group_IT_number 187
_space_group_name_Hall 'P -6 2'
_cell_length_a 4.4384
_cell_length_b 4.4384
_cell_length_c 8.3824
_cell_angle_alpha 90.00
_cell_angle_beta 90.00
_cell_angle_gamma 120.00
loop_
_atom_site_label
_atom_site_type_symbol
_atom_site_fract_x
_atom_site_fract_y
_atom_site_fract_z
La1 La 0.0000 0.0000 0.2417
Ge1 Ge 0.3333 0.6667 0.5000
Ge2 Ge 0.6667 0.3333 0.0000
Pd1 Pd 0.3333 0.6667 0.0000
Au1 Au 0.6667 0.3333 0.5000
# **Total magnetization**: 0.0 μB per formula unit
# **Final energy**: -33.01 eV per formula unit

***

No. 4
# PBE-GGA LaPr2Ge4Pd2Au2, relaxed
data_LaPr2Ge4Pd2Au2
_chemical_formula_sum 'La2 Pr4 Ge8 Pd4 Au4'
_space_group_name_H-M_alt 'I m m m'
_space_group_IT_number 71
_space_group_name_Hall '-I 2 2'
_cell_length_a 4.315
_cell_length_b 4.412
_cell_length_c 25.444
_cell_angle_alpha 90.00
_cell_angle_beta 90.00
_cell_angle_gamma 90.00
loop_
_atom_site_label
_atom_site_type_symbol
_atom_site_fract_x
_atom_site_fract_y
_atom_site_fract_z
La1 La 0.000 0.000 0.000
Pr1 Pr 0.000 0.500 0.151
Ge1 Ge 0.000 0.000 0.450
Ge2 Ge 0.000 0.500 0.302
Pd1 Pd 0.000 0.000 0.250
Au1 Au 0.000 0.500 0.402
# **Total magnetization**: 0.0 μB per formula unit
# **Final energy**: -58.95 eV per formula unit

***

No. 5
# PBE-GGA LaGeTeAuS2, relaxed
data_LaGeTeAuS2
_chemical_formula_sum 'La4 Ge4 Te4 Au4 S8'
_space_group_name_H-M_alt 'C m c m'
_space_group_IT_number 63
_space_group_name_Hall '-C 2c 2'
_cell_length_a 4.169
_cell_length_b 13.106
_cell_length_c 11.895
_cell_angle_alpha 90.00
_cell_angle_beta 90.00
_cell_angle_gamma 90.00
loop_
_atom_site_label
_atom_site_type_symbol
_atom_site_fract_x
_atom_site_fract_y
_atom_site_fract_z
La1 La 0.000 0.000 0.000
Ge1 Ge 0.000 0.235 0.250
Te1 Te 0.000 0.114 0.750
Au1 Au 0.000 0.430 0.750
S1 S 0.000 0.363 0.564
# **Total magnetization**: 0.0 μB per formula unit
# **Final energy**: -28.72 eV per formula unit

***

No. 6
# PBE-GGA LaGeAuSe3, relaxed
data_LaGeAuSe3
_chemical_formula_sum 'La4 Ge4 Au4 Se12'
_space_group_name_H-M_alt 'C m c m'
_space_group_IT_number 63
_space_group_name_Hall '-C 2c 2'
_cell_length_a 4.050
_cell_length_b 13.573
_cell_length_c 11.166
_cell_angle_alpha 90.00
_cell_angle_beta 90.00
_cell_angle_gamma 90.00
loop_
_atom_site_label
_atom_site_type_symbol
_atom_site_fract_x
_atom_site_fract_y
_atom_site_fract_z
La1 La 0.000 0.000 0.000
Ge1 Ge 0.000 0.211 0.250
Au1 Au 0.000 0.474 0.750
Se1 Se 0.000 0.101 0.750
Se2 Se 0.000 0.344 0.574
# **Total magnetization**: 0.0 μB per formula unit
# **Final energy**: -28.07 eV per formula unit